Entry 1:
# Ac6AgIrPt2 PBE-GGA optimized geometry
data_Ac6AgIrPt2
_chemical_formula_sum 'Ac6 Ag1 Ir1 Pt2'
_cell_length_a 7.7180
_cell_length_b 7.7186
_cell_length_c 8.3925
_cell_angle_alpha 62.65
_cell_angle_beta 62.60
_cell_angle_gamma 59.97
_space_group_name_H-M_alt 'P 1'
_space_group_IT_number 1
loop_
_space_group_symop_operation_xyz
'x,y,z'
loop_
_atom_site_label
_atom_site_type_symbol
_atom_site_fract_x
_atom_site_fract_y
_atom_site_fract_z
Ac1 Ac 0.2517 0.9228 0.2391
Ac2 Ac 0.3920 0.7303 0.7588
Ac3 Ac 0.5860 0.2514 0.2397
Ac4 Ac 0.7308 0.1188 0.7583
Ac5 Ac 0.9229 0.5862 0.2395
Ac6 Ac 0.1187 0.3922 0.7590
Pt1 Pt 0.0011 0.0014 0.9961
Pt2 Pt 0.5080 0.5083 0.4756
Ir1 Ir 0.3269 0.3265 0.0198
Ag1 Ag 0.8235 0.8236 0.5291
# - theoretical density (Mg/m³) = 9.29
# - final energy (eV/atom) = -5.52
# - formation energy (meV per atom) = -673
# - space group = P1

***

Entry 2:
# Ca3Ho PBE-GGA optimized geometry
data_Ca3Ho
_chemical_formula_sum 'Ca3 Ho1'
_cell_length_a 3.6911
_cell_length_b 3.5265
_cell_length_c 12.0226
_cell_angle_alpha 90.00
_cell_angle_beta 90.00
_cell_angle_gamma 90.00
_space_group_name_H-M_alt 'P 1'
_space_group_IT_number 1
loop_
_space_group_symop_operation_xyz
'x,y,z'
loop_
_atom_site_label
_atom_site_type_symbol
_atom_site_fract_x
_atom_site_fract_y
_atom_site_fract_z
Ca1 Ca 0.0000 0.5000 0.4647
Ca2 Ca 0.5000 0.0000 0.7115
Ca3 Ca 0.5000 0.5000 0.1904
Ho1 Ho 0.0000 0.0000 0.9667
# - theoretical density (Mg/m³) = 3.03
# - final energy (eV/atom) = -2.42
# - formation energy (meV per atom) = 225
# - space group = Pmm2

***

Entry 3:
# YAl2Ir PBE-GGA optimized geometry
data_YAl2Ir
_chemical_formula_sum 'Y1 Al2 Ir1'
_cell_length_a 4.3295
_cell_length_b 4.3295
_cell_length_c 5.5848
_cell_angle_alpha 67.04
_cell_angle_beta 67.04
_cell_angle_gamma 59.98
_space_group_name_H-M_alt 'P 1'
_space_group_IT_number 1
loop_
_space_group_symop_operation_xyz
'x,y,z'
loop_
_atom_site_label
_atom_site_type_symbol
_atom_site_fract_x
_atom_site_fract_y
_atom_site_fract_z
Al1 Al 0.7841 0.7841 0.6477
Al2 Al 0.0395 0.0395 0.8812
Y1 Y 0.2424 0.2424 0.2733
Ir1 Ir 0.4340 0.4340 0.6978
# - theoretical density (Mg/m³) = 6.88
# - final energy (eV/atom) = -6.44
# - formation energy (meV per atom) = -741
# - space group = Cm

***

Entry 4:
# Zn2Pd2Au7 PBE-GGA optimized geometry
data_Zn2Pd2Au7
_chemical_formula_sum 'Zn2 Pd2 Au7'
_cell_length_a 5.0148
_cell_length_b 6.9299
_cell_length_c 6.9299
_cell_angle_alpha 83.12
_cell_angle_beta 64.12
_cell_angle_gamma 64.12
_space_group_name_H-M_alt 'P 1'
_space_group_IT_number 1
loop_
_space_group_symop_operation_xyz
'x,y,z'
loop_
_atom_site_label
_atom_site_type_symbol
_atom_site_fract_x
_atom_site_fract_y
_atom_site_fract_z
Au1 Au 0.1402 0.5818 0.5818
Au2 Au 0.6651 0.0803 0.5737
Au3 Au 0.6651 0.5737 0.0803
Au4 Au 0.3349 0.4263 0.9197
Au5 Au 0.5000 0.0000 0.0000
Au6 Au 0.3349 0.9197 0.4263
Au7 Au 0.8598 0.4182 0.4182
Zn1 Zn 0.4527 0.7552 0.7552
Zn2 Zn 0.5473 0.2448 0.2448
Pd1 Pd 0.0000 0.8286 0.1714
Pd2 Pd 0.0000 0.1714 0.8286
# - theoretical density (Mg/m³) = 14.73
# - final energy (eV/atom) = -3.35
# - formation energy (meV per atom) = -87
# - space group = C2/m

***

Entry 5:
# MnIn2Co PBE-GGA optimized geometry
data_MnIn2Co
_chemical_formula_sum 'Mn1 In2 Co1'
_cell_length_a 4.5710
_cell_length_b 4.5710
_cell_length_c 4.5710
_cell_angle_alpha 60.00
_cell_angle_beta 60.00
_cell_angle_gamma 60.00
_space_group_name_H-M_alt 'P 1'
_space_group_IT_number 1
loop_
_space_group_symop_operation_xyz
'x,y,z'
loop_
_atom_site_label
_atom_site_type_symbol
_atom_site_fract_x
_atom_site_fract_y
_atom_site_fract_z
In1 In 0.0000 0.0000 0.0000
In2 In 0.7500 0.7500 0.7500
Co1 Co 0.5000 0.5000 0.5000
Mn1 Mn 0.2500 0.2500 0.2500
# - theoretical density (Mg/m³) = 8.45
# - final energy (eV/atom) = -5.08
# - formation energy (meV per atom) = 362
# - space group = F-43m

***

Entry 6:
# CaBi2Pt2 PBE-GGA optimized geometry
data_CaBi2Pt2
_chemical_formula_sum 'Ca1 Bi2 Pt2'
_cell_length_a 4.9714
_cell_length_b 4.9714
_cell_length_c 6.2938
_cell_angle_alpha 66.74
_cell_angle_beta 66.74
_cell_angle_gamma 90.00
_space_group_name_H-M_alt 'P 1'
_space_group_IT_number 1
loop_
_space_group_symop_operation_xyz
'x,y,z'
loop_
_atom_site_label
_atom_site_type_symbol
_atom_site_fract_x
_atom_site_fract_y
_atom_site_fract_z
Ca1 Ca 0.0000 0.0000 0.0000
Pt1 Pt 0.6253 0.6253 0.7493
Pt2 Pt 0.3747 0.3747 0.2507
Bi1 Bi 0.2500 0.7500 0.5000
Bi2 Bi 0.7500 0.2500 0.5000
# - theoretical density (Mg/m³) = 10.92
# - final energy (eV/atom) = -4.79
# - formation energy (meV per atom) = -419
# - space group = I4/mmm

***

Entry 7:
# Cs4Br5N2 PBE-GGA optimized geometry
data_Cs4Br5N2
_chemical_formula_sum 'Cs4 Br5 N2'
_cell_length_a 5.4897
_cell_length_b 10.2504
_cell_length_c 11.5667
_cell_angle_alpha 114.38
_cell_angle_beta 104.12
_cell_angle_gamma 90.02
_space_group_name_H-M_alt 'P 1'
_space_group_IT_number 1
loop_
_space_group_symop_operation_xyz
'x,y,z'
loop_
_atom_site_label
_atom_site_type_symbol
_atom_site_fract_x
_atom_site_fract_y
_atom_site_fract_z
Br1 Br 0.8309 0.1556 0.6610
Br2 Br 0.5000 0.0000 0.0000
Br3 Br 0.8421 0.5066 0.6823
Br4 Br 0.1579 0.4934 0.3177
Br5 Br 0.1691 0.8444 0.3390
N1 N 0.4960 0.4446 0.9975
N2 N 0.5040 0.5554 0.0025
Cs1 Cs 0.7474 0.7407 0.4913
Cs2 Cs 0.2526 0.2593 0.5087
Cs3 Cs 0.9973 0.2144 0.9936
Cs4 Cs 0.0027 0.7856 0.0064
# - theoretical density (Mg/m³) = 2.79
# - final energy (eV/atom) = -3.75
# - formation energy from raw total energies (eV per atom) = -1.168
# - space group = P-1

***

Entry 8:
# Co5Ni6Rh2 PBE-GGA optimized geometry
data_Co5Ni6Rh2
_chemical_formula_sum 'Co10 Ni12 Rh4'
_cell_length_a 2.5444
_cell_length_b 8.3697
_cell_length_c 14.3991
_cell_angle_alpha 90.00
_cell_angle_beta 90.00
_cell_angle_gamma 90.00
_space_group_name_H-M_alt 'P 1'
_space_group_IT_number 1
loop_
_space_group_symop_operation_xyz
'x,y,z'
loop_
_atom_site_label
_atom_site_type_symbol
_atom_site_fract_x
_atom_site_fract_y
_atom_site_fract_z
Ni1 Ni 0.0000 0.9342 0.6348
Ni2 Ni 0.0000 0.0658 0.3652
Ni3 Ni 0.0000 0.9430 0.9239
Ni4 Ni 0.0000 0.4342 0.8652
Ni5 Ni 0.0000 0.5570 0.4239
Ni6 Ni 0.5000 0.3082 0.1200
Ni7 Ni 0.5000 0.1918 0.6200
Ni8 Ni 0.0000 0.4430 0.5761
Ni9 Ni 0.5000 0.6918 0.8800
Ni10 Ni 0.0000 0.5658 0.1348
Ni11 Ni 0.5000 0.8082 0.3800
Ni12 Ni 0.0000 0.0570 0.0761
Co1 Co 0.5000 0.2112 0.9503
Co2 Co 0.5000 0.9091 0.7782
Co3 Co 0.5000 0.0909 0.2218
Co4 Co 0.5000 0.5909 0.2782
Co5 Co 0.5000 0.0000 0.5000
Co6 Co 0.5000 0.5000 0.0000
Co7 Co 0.5000 0.2888 0.4503
Co8 Co 0.5000 0.4091 0.7218
Co9 Co 0.5000 0.7112 0.5497
Co10 Co 0.5000 0.7888 0.0497
Rh1 Rh 0.0000 0.1653 0.7876
Rh2 Rh 0.0000 0.8347 0.2124
Rh3 Rh 0.0000 0.3347 0.2876
Rh4 Rh 0.0000 0.6653 0.7124
# - theoretical density (Mg/m³) = 9.23
# - final energy (eV/atom) = -6.41
# - formation energy (meV per atom) = 125
# - space group = Pbam

***

Record order is preserved below.
N(E_F): 0.71; 1.50; 0.83; 0.27; 0.77; 0.31; 0.53; 1.32 states/eV per atom